Record 1
The following is a PBE calculation of a relaxed structure of Na3Pu3RhSe8, from the Alexandria database.

abc: 8.4941 8.4941 8.4941
angles: 56.92 56.92 56.92
Element x y z (fractional)
Na1 0.0000 0.5000 0.5000
Na2 0.5000 0.0000 0.5000
Na3 0.5000 0.5000 0.0000
Pu1 0.0000 0.0000 0.5000
Pu2 0.0000 0.5000 0.0000
Pu3 0.5000 0.0000 0.0000
Rh1 0.5000 0.5000 0.5000
Se1 0.2441 0.2441 0.2441
Se2 0.2671 0.7223 0.7223
Se3 0.2777 0.2777 0.7329
Se4 0.2777 0.7329 0.2777
Se5 0.7223 0.2671 0.7223
Se6 0.7223 0.7223 0.2671
Se7 0.7329 0.2777 0.2777
Se8 0.7559 0.7559 0.7559

## Properties
* symmetry: R-3m (166)
* density of states at the Fermi level: 1.92 states/eV per atom


Record 2
The following is a PBE calculation of a relaxed structure of Ce5BiRu2, from the Alexandria database.

abc: 8.7968 8.7968 8.7968
angles: 128.02 128.02 76.60
Element x y z (fractional)
Ce1 0.0000 0.0000 0.0000
Ce2 0.0030 0.5030 0.2325
Ce3 0.2295 0.9970 0.5000
Ce4 0.2705 0.7705 0.7675
Ce5 0.4970 0.7295 0.5000
Ce6 0.5000 0.5000 0.0000
Ce7 0.5030 0.2705 0.5000
Ce8 0.7295 0.2295 0.2325
Ce9 0.7705 0.0030 0.5000
Ce10 0.9970 0.4970 0.7675
Bi1 0.2500 0.2500 0.0000
Bi2 0.7500 0.7500 0.0000
Ru1 0.1870 0.3130 0.5000
Ru2 0.3130 0.8130 0.1260
Ru3 0.6870 0.1870 0.8740
Ru4 0.8130 0.6870 0.5000

## Properties
* formation energy: -0.411 eV per atom
* symmetry: I4/mcm (140)
* density of states at the Fermi level: 2.28 states/eV per atom


Record 3
The following is a PBE calculation of a relaxed structure of AgB, from the Alexandria database.

abc: 3.3308 3.3308 2.7187
angles: 90.00 90.00 120.00
Element x y z (fractional)
Ag1 0.0000 0.0000 0.0000
B1 0.3333 0.6667 0.5000

## Properties
* formation energy: 1.257 eV per atom
* symmetry: P-6m2 (187)
* density of states at the Fermi level: 0.29 states/eV per atom


Record 4
The following is a PBE calculation of a relaxed structure of RbMo2Os, from the Alexandria database.

abc: 6.5427 6.5427 6.5427
angles: 90.00 90.00 90.00
Element x y z (fractional)
Rb1 0.0000 0.0000 0.0000
Rb2 0.0000 0.5000 0.5000
Rb3 0.5000 0.0000 0.5000
Rb4 0.5000 0.5000 0.0000
Mo1 0.2500 0.2500 0.2500
Mo2 0.2500 0.2500 0.7500
Mo3 0.2500 0.7500 0.2500
Mo4 0.2500 0.7500 0.7500
Mo5 0.7500 0.2500 0.2500
Mo6 0.7500 0.2500 0.7500
Mo7 0.7500 0.7500 0.2500
Mo8 0.7500 0.7500 0.7500
Os1 0.0000 0.0000 0.5000
Os2 0.0000 0.5000 0.0000
Os3 0.5000 0.0000 0.0000
Os4 0.5000 0.5000 0.5000

## Properties
* formation energy: 1.660 eV per atom
* symmetry: Fm-3m (225)
* density of states at the Fermi level: 1.02 states/eV per atom


Record 5
The following is a PBE calculation of a relaxed structure of Ca2MnReTc, from the Alexandria database.

abc: 5.2568 5.2568 4.3858
angles: 90.00 90.00 90.00
Element x y z (fractional)
Ca1 0.0000 0.5000 0.0000
Ca2 0.5000 0.0000 0.0000
Mn1 0.0000 0.0000 0.0000
Re1 0.0000 0.0000 0.5000
Tc1 0.5000 0.5000 0.5000

## Properties
* formation energy: 1.435 eV per atom
* symmetry: P4/mmm (123)
* density of states at the Fermi level: 1.58 states/eV per atom


Record 6
The following is a PBE calculation of a relaxed structure of ZrScH2, from the Alexandria database.

abc: 5.7976 3.3537 5.8023
angles: 90.00 109.31 90.00
Element x y z (fractional)
Zr1 0.0000 0.0000 0.0000
Zr2 0.5000 0.5000 0.0000
Sc1 0.0041 0.5000 0.5104
Sc2 0.5041 0.0000 0.5104
H1 0.3775 0.0000 0.1325
H2 0.3768 0.5000 0.6286
H3 0.8768 0.0000 0.6286
H4 0.8775 0.5000 0.1325

## Properties
* symmetry: Cm (8)
* density of states at the Fermi level: 0.62 states/eV per atom


Record 7
The following is a PBE calculation of a relaxed structure of NaAg3As, from the Alexandria database.

abc: 5.0392 5.0392 5.0392
angles: 90.00 90.00 90.00
Element x y z (fractional)
Na1 0.0000 0.0000 0.0000
Ag1 0.0000 0.5000 0.5000
Ag2 0.5000 0.0000 0.5000
Ag3 0.5000 0.5000 0.0000
As1 0.5000 0.5000 0.5000

## Properties
* formation energy: 0.124 eV per atom
* symmetry: Pm-3m (221)
* density of states at the Fermi level: 0.49 states/eV per atom


Record 8
The following is a PBE calculation of a relaxed structure of MgZn4Cu2, from the Alexandria database.

abc: 6.8038 6.8038 6.8038
angles: 36.92 36.92 36.92
Element x y z (fractional)
Mg1 0.0000 0.0000 0.0000
Zn1 0.1406 0.1406 0.1406
Zn2 0.4143 0.4143 0.4143
Zn3 0.5857 0.5857 0.5857
Zn4 0.8594 0.8594 0.8594
Cu1 0.2724 0.2724 0.2724
Cu2 0.7276 0.7276 0.7276

## Properties
* formation energy: -0.062 eV per atom
* symmetry: R-3m (166)
* density of states at the Fermi level: 0.10 states/eV per atom


Record 9
The following is a PBE calculation of a relaxed structure of BeIr2Se, from the Alexandria database.

abc: 2.9407 2.9407 6.2659
angles: 90.00 90.00 90.00
Element x y z (fractional)
Be1 0.0000 0.0000 0.0000
Ir1 0.5000 0.5000 0.2168
Ir2 0.5000 0.5000 0.7832
Se1 0.0000 0.0000 0.5000

## Properties
* symmetry: P4/mmm (123)
* density of states at the Fermi level: 0.30 states/eV per atom


Record 10
The following is a PBE calculation of a relaxed structure of La2Ho2In, from the Alexandria database.

abc: 6.7360 6.7360 9.6978
angles: 103.54 103.54 48.65
Element x y z (fractional)
La1 0.0245 0.0245 0.3360
La2 0.1633 0.1633 0.0510
La3 0.8367 0.8367 0.9490
La4 0.9755 0.9755 0.6640
Ho1 0.3506 0.3506 0.4440
Ho2 0.4778 0.4778 0.1557
Ho3 0.5222 0.5222 0.8443
Ho4 0.6494 0.6494 0.5560
In1 0.2551 0.2551 0.7287
In2 0.7449 0.7449 0.2713

## Properties
* formation energy: -0.157 eV per atom
* symmetry: C2/m (12)
* density of states at the Fermi level: 1.08 states/eV per atom


Record 11
The following is a PBE calculation of a relaxed structure of AcTlBr2O, from the Alexandria database.

abc: 4.3321 4.3321 18.0937
angles: 90.00 90.00 90.00
Element x y z (fractional)
Ac1 0.2500 0.2500 0.0684
Ac2 0.7500 0.7500 0.9316
Tl1 0.2500 0.2500 0.6141
Tl2 0.7500 0.7500 0.3859
Br1 0.2500 0.2500 0.4306
Br2 0.2500 0.2500 0.8428
Br3 0.7500 0.7500 0.1572
Br4 0.7500 0.7500 0.5694
O1 0.2500 0.7500 0.0000
O2 0.7500 0.2500 0.0000

## Properties
* symmetry: P4/nmm (129)
* density of states at the Fermi level: 0.00 states/eV per atom


Record 12
The following is a PBE calculation of a relaxed structure of Ti2CuIr, from the Alexandria database.

abc: 6.9899 6.9899 5.2583
angles: 90.00 90.00 90.00
Element x y z (fractional)
Ti1 0.2338 0.2500 0.1250
Ti2 0.2500 0.7338 0.3750
Ti3 0.2500 0.7662 0.8750
Ti4 0.2662 0.2500 0.6250
Ti5 0.7338 0.7500 0.6250
Ti6 0.7500 0.2338 0.8750
Ti7 0.7500 0.2662 0.3750
Ti8 0.7662 0.7500 0.1250
Cu1 0.0000 0.0000 0.5000
Cu2 0.0000 0.5000 0.7500
Cu3 0.5000 0.0000 0.2500
Cu4 0.5000 0.5000 0.0000
Ir1 0.0000 0.0000 0.0000
Ir2 0.0000 0.5000 0.2500
Ir3 0.5000 0.0000 0.7500
Ir4 0.5000 0.5000 0.5000

## Properties
* formation energy: -0.044 eV per atom
* symmetry: I-42d (122)
* density of states at the Fermi level: 1.17 states/eV per atom


Raw total energy (computed, eV per atom): -6.64 -6.92 -3.51 -6.80 -5.76 -5.78 -2.78 -2.19 -6.20 -4.51 -5.03 -7.23